(1)
LaCr2SiW after structural relaxation, computed with PBE.

E	-35.44	eV for the cell shown
space group	P4/mmm (123)
DOS at the Fermi energy	9.83	states/eV per cell
total moment	0.0002	μB/atom

```
data_LaCr2SiW
_cell_length_a 4.3280
_cell_length_b 4.3280
_cell_length_c 5.3050
_cell_angle_alpha 90.00
_cell_angle_beta 90.00
_cell_angle_gamma 90.00
_space_group_name_H-M_alt 'P 1'
_space_group_IT_number 1
loop_
_space_group_symop_operation_xyz
'x,y,z'
loop_
_atom_site_label
_atom_site_type_symbol
_atom_site_fract_x
_atom_site_fract_y
_atom_site_fract_z
_atom_site_occupancy
La1 La 0.0000 0.0000 0.0000 1
Cr1 Cr 0.0000 0.5000 0.5000 1
Cr2 Cr 0.5000 0.0000 0.5000 1
Si1 Si 0.0000 0.0000 0.5000 1
W1 W 0.5000 0.5000 0.0000 1
```

(2)
La2CrSn2 after structural relaxation, computed with PBE.

formation energy from the elements	-0.142	eV per atom
space group	P4/mbm (127)
DOS at the Fermi energy	17.09	states/eV per cell
total moment	0.0558	μB/atom

```
data_La2CrSn2
_cell_length_a 7.4291
_cell_length_b 7.4291
_cell_length_c 4.9698
_cell_angle_alpha 90.00
_cell_angle_beta 90.00
_cell_angle_gamma 90.00
_space_group_name_H-M_alt 'P 1'
_space_group_IT_number 1
loop_
_space_group_symop_operation_xyz
'x,y,z'
loop_
_atom_site_label
_atom_site_type_symbol
_atom_site_fract_x
_atom_site_fract_y
_atom_site_fract_z
_atom_site_occupancy
La1 La 0.1718 0.3282 0.0000 1
La2 La 0.3282 0.8282 0.0000 1
La3 La 0.6718 0.1718 0.0000 1
La4 La 0.8282 0.6718 0.0000 1
Cr1 Cr 0.0000 0.0000 0.5000 1
Cr2 Cr 0.5000 0.5000 0.5000 1
Sn1 Sn 0.1421 0.6421 0.5000 1
Sn2 Sn 0.3579 0.1421 0.5000 1
Sn3 Sn 0.6421 0.8579 0.5000 1
Sn4 Sn 0.8579 0.3579 0.5000 1
```

(3)
La2CrSn after structural relaxation, computed with PBE.

formation energy from the elements	0.172	eV per atom
space group	I-42d (122)
DOS at the Fermi energy	15.97	states/eV per cell
total moment	0.8699	μB/atom

```
data_La2CrSn
_cell_length_a 8.5057
_cell_length_b 8.5057
_cell_length_c 6.3188
_cell_angle_alpha 90.00
_cell_angle_beta 90.00
_cell_angle_gamma 90.00
_space_group_name_H-M_alt 'P 1'
_space_group_IT_number 1
loop_
_space_group_symop_operation_xyz
'x,y,z'
loop_
_atom_site_label
_atom_site_type_symbol
_atom_site_fract_x
_atom_site_fract_y
_atom_site_fract_z
_atom_site_occupancy
La1 La 0.2163 0.2500 0.1250 1
La2 La 0.2500 0.7163 0.3750 1
La3 La 0.2500 0.7837 0.8750 1
La4 La 0.2837 0.2500 0.6250 1
La5 La 0.7163 0.7500 0.6250 1
La6 La 0.7500 0.2163 0.8750 1
La7 La 0.7500 0.2837 0.3750 1
La8 La 0.7837 0.7500 0.1250 1
Cr1 Cr 0.0000 0.0000 0.0000 1
Cr2 Cr 0.0000 0.5000 0.2500 1
Cr3 Cr 0.5000 0.0000 0.7500 1
Cr4 Cr 0.5000 0.5000 0.5000 1
Sn1 Sn 0.0000 0.0000 0.5000 1
Sn2 Sn 0.0000 0.5000 0.7500 1
Sn3 Sn 0.5000 0.0000 0.2500 1
Sn4 Sn 0.5000 0.5000 0.0000 1
```

(4)
LaCrSn2 after structural relaxation, computed with PBE.

formation energy from the elements	-0.098	eV per atom
space group	Fm-3m (225)
DOS at the Fermi energy	12.27	states/eV per cell
total moment	0.9802	μB/atom

```
data_LaCrSn2
_cell_length_a 7.4307
_cell_length_b 7.4307
_cell_length_c 7.4307
_cell_angle_alpha 90.00
_cell_angle_beta 90.00
_cell_angle_gamma 90.00
_space_group_name_H-M_alt 'P 1'
_space_group_IT_number 1
loop_
_space_group_symop_operation_xyz
'x,y,z'
loop_
_atom_site_label
_atom_site_type_symbol
_atom_site_fract_x
_atom_site_fract_y
_atom_site_fract_z
_atom_site_occupancy
La1 La 0.0000 0.0000 0.0000 1
La2 La 0.0000 0.5000 0.5000 1
La3 La 0.5000 0.0000 0.5000 1
La4 La 0.5000 0.5000 0.0000 1
Cr1 Cr 0.0000 0.0000 0.5000 1
Cr2 Cr 0.0000 0.5000 0.0000 1
Cr3 Cr 0.5000 0.0000 0.0000 1
Cr4 Cr 0.5000 0.5000 0.5000 1
Sn1 Sn 0.2500 0.2500 0.2500 1
Sn2 Sn 0.2500 0.2500 0.7500 1
Sn3 Sn 0.2500 0.7500 0.2500 1
Sn4 Sn 0.2500 0.7500 0.7500 1
Sn5 Sn 0.7500 0.2500 0.2500 1
Sn6 Sn 0.7500 0.2500 0.7500 1
Sn7 Sn 0.7500 0.7500 0.2500 1
Sn8 Sn 0.7500 0.7500 0.7500 1
```

(5)
SrLaCr after structural relaxation, computed with PBE.

formation energy from the elements	0.617	eV per atom
space group	P3m1 (156)
DOS at the Fermi energy	3.18	states/eV per cell
total moment	1.1376	μB/atom

```
data_SrLaCr
_cell_length_a 3.9915
_cell_length_b 3.9915
_cell_length_c 7.8131
_cell_angle_alpha 90.00
_cell_angle_beta 90.00
_cell_angle_gamma 120.00
_space_group_name_H-M_alt 'P 1'
_space_group_IT_number 1
loop_
_space_group_symop_operation_xyz
'x,y,z'
loop_
_atom_site_label
_atom_site_type_symbol
_atom_site_fract_x
_atom_site_fract_y
_atom_site_fract_z
_atom_site_occupancy
Sr1 Sr 0.0000 0.0000 0.0000 1
La1 La 0.3333 0.6667 0.5413 1
Cr1 Cr 0.6667 0.3333 0.2980 1
```

(6)
SrLa3Cr after structural relaxation, computed with PBE.

formation energy from the elements	1.311	eV per atom
space group	Pm-3m (221)
DOS at the Fermi energy	5.46	states/eV per cell
total moment	0.9357	μB/atom

```
data_SrLa3Cr
_cell_length_a 5.9144
_cell_length_b 5.9144
_cell_length_c 5.9144
_cell_angle_alpha 90.00
_cell_angle_beta 90.00
_cell_angle_gamma 90.00
_space_group_name_H-M_alt 'P 1'
_space_group_IT_number 1
loop_
_space_group_symop_operation_xyz
'x,y,z'
loop_
_atom_site_label
_atom_site_type_symbol
_atom_site_fract_x
_atom_site_fract_y
_atom_site_fract_z
_atom_site_occupancy
Sr1 Sr 0.0000 0.0000 0.0000 1
La1 La 0.0000 0.0000 0.5000 1
La2 La 0.0000 0.5000 0.0000 1
La3 La 0.5000 0.0000 0.0000 1
Cr1 Cr 0.5000 0.5000 0.5000 1
```